Material: NaMg2Cd
Method: DFT, PBE
State: relaxed

Cell and atoms, written as CIF:
```
data_NaMg2Cd
_chemical_formula_sum 'Na1 Mg2 Cd1'
_symmetry_space_group_name_H-M 'P 1'
_symmetry_Int_Tables_number 1
_symmetry_space_group_name_Hall 'P 1'
_cell_length_a 4.586
_cell_length_b 4.588
_cell_length_c 4.588
_cell_angle_alpha 90.00
_cell_angle_beta 90.00
_cell_angle_gamma 90.00
loop_
_atom_site_label
_atom_site_type_symbol
_atom_site_fract_x
_atom_site_fract_y
_atom_site_fract_z
_atom_site_occupancy
Na1 Na 0.500 0.500 0.500 1
Mg1 Mg 0.000 0.000 0.500 1
Mg2 Mg 0.000 0.500 0.000 1
Cd1 Cd 0.500 0.000 0.000 1
```

## Properties
The formation enthalpy at 0 K is 0.011 eV per formula unit. The space group is P4/mmm.

=====

Material: Tb2InHg8
Method: DFT, PBE
State: relaxed

Cell and atoms, written as CIF:
```
data_Tb2InHg8
_chemical_formula_sum 'Tb2 In1 Hg8'
_symmetry_space_group_name_H-M 'P 1'
_symmetry_Int_Tables_number 1
_symmetry_space_group_name_Hall 'P 1'
_cell_length_a 4.675
_cell_length_b 4.675
_cell_length_c 12.780
_cell_angle_alpha 90.00
_cell_angle_beta 90.00
_cell_angle_gamma 90.00
loop_
_atom_site_label
_atom_site_type_symbol
_atom_site_fract_x
_atom_site_fract_y
_atom_site_fract_z
_atom_site_occupancy
Tb1 Tb 0.000 0.000 0.317 1
Tb2 Tb 0.000 0.000 0.683 1
In1 In 0.000 0.000 0.000 1
Hg1 Hg 0.000 0.500 0.500 1
Hg2 Hg 0.500 0.000 0.500 1
Hg3 Hg 0.500 0.500 0.322 1
Hg4 Hg 0.500 0.500 0.678 1
Hg5 Hg 0.000 0.500 0.146 1
Hg6 Hg 0.500 0.000 0.146 1
Hg7 Hg 0.000 0.500 0.854 1
Hg8 Hg 0.500 0.000 0.854 1
```

## Properties
The formation enthalpy at 0 K is -2.629 eV per formula unit. The space group is P4/mmm.

=====

Material: SrTaO2F
Method: DFT, PBE
State: relaxed

Cell and atoms, written as CIF:
```
data_SrTaO2F
_chemical_formula_sum 'Sr1 Ta1 O2 F1'
_symmetry_space_group_name_H-M 'P 1'
_symmetry_Int_Tables_number 1
_symmetry_space_group_name_Hall 'P 1'
_cell_length_a 4.609
_cell_length_b 4.609
_cell_length_c 4.297
_cell_angle_alpha 90.00
_cell_angle_beta 90.00
_cell_angle_gamma 90.00
loop_
_atom_site_label
_atom_site_type_symbol
_atom_site_fract_x
_atom_site_fract_y
_atom_site_fract_z
_atom_site_occupancy
Sr1 Sr 0.000 0.000 0.000 1
F1 F 0.000 0.000 0.500 1
O1 O 0.000 0.500 0.000 1
O2 O 0.500 0.000 0.000 1
Ta1 Ta 0.500 0.500 0.500 1
```

## Properties
The uncorrected formation energy is -0.43 eV per atom. The space group is P4/mmm.

=====

Material: Ca3Mg5
Method: DFT, PBE
State: relaxed

Cell and atoms, written as CIF:
```
data_Ca3Mg5
_chemical_formula_sum 'Ca6 Mg10'
_symmetry_space_group_name_H-M 'P 1'
_symmetry_Int_Tables_number 1
_symmetry_space_group_name_Hall 'P 1'
_cell_length_a 9.484
_cell_length_b 9.394
_cell_length_c 9.702
_cell_angle_alpha 99.11
_cell_angle_beta 99.61
_cell_angle_gamma 140.68
loop_
_atom_site_label
_atom_site_type_symbol
_atom_site_fract_x
_atom_site_fract_y
_atom_site_fract_z
_atom_site_occupancy
Ca1 Ca 0.156 0.301 0.543 1
Ca2 Ca 0.334 0.235 0.914 1
Ca3 Ca 0.497 0.001 0.258 1
Ca4 Ca 0.538 0.034 0.865 1
Ca5 Ca 0.738 0.828 0.908 1
Ca6 Ca 0.804 0.662 0.540 1
Mg1 Mg 0.957 0.663 0.924 1
Mg2 Mg 0.222 0.127 0.236 1
Mg3 Mg 0.148 0.648 0.473 1
Mg4 Mg 0.165 0.454 0.919 1
Mg5 Mg 0.383 0.140 0.571 1
Mg6 Mg 0.625 0.726 0.231 1
Mg7 Mg 0.860 0.584 0.210 1
Mg8 Mg 0.871 0.372 0.649 1
Mg9 Mg 0.627 0.872 0.560 1
Mg10 Mg 0.081 0.358 0.208 1
```

## Properties
The formation enthalpy at 0 K is -0.107 eV per formula unit. The space group is P1. The distance to the lowest polymorph of the same formula is 0.020 eV per atom.

=====

Material: YSc2In
Method: DFT, PBE
State: relaxed

Cell and atoms, written as CIF:
```
data_YSc2In
_chemical_formula_sum 'Y2 Sc4 In2'
_symmetry_space_group_name_H-M 'P 1'
_symmetry_Int_Tables_number 1
_symmetry_space_group_name_Hall 'P 1'
_cell_length_a 8.316
_cell_length_b 8.316
_cell_length_c 6.668
_cell_angle_alpha 51.42
_cell_angle_beta 51.42
_cell_angle_gamma 90.00
loop_
_atom_site_label
_atom_site_type_symbol
_atom_site_fract_x
_atom_site_fract_y
_atom_site_fract_z
_atom_site_occupancy
Y1 Y 0.500 0.500 0.000 1
Y2 Y 0.250 0.750 0.500 1
Sc1 Sc 0.656 0.125 0.250 1
Sc2 Sc 0.094 0.625 0.250 1
Sc3 Sc 0.375 0.344 0.750 1
Sc4 Sc 0.875 0.906 0.750 1
In1 In 0.000 0.000 0.000 1
In2 In 0.750 0.250 0.500 1
```

## Properties
The formation enthalpy at 0 K is 0.417 eV per formula unit. The space group is I-42d.

=====

Material: SbPb2Cl
Method: DFT, PBE
State: relaxed

Cell and atoms, written as CIF:
```
data_SbPb2Cl
_chemical_formula_sum 'Sb1 Pb2 Cl1'
_symmetry_space_group_name_H-M 'P 1'
_symmetry_Int_Tables_number 1
_symmetry_space_group_name_Hall 'P 1'
_cell_length_a 4.076
_cell_length_b 3.674
_cell_length_c 8.342
_cell_angle_alpha 75.86
_cell_angle_beta 90.00
_cell_angle_gamma 90.00
loop_
_atom_site_label
_atom_site_type_symbol
_atom_site_fract_x
_atom_site_fract_y
_atom_site_fract_z
_atom_site_occupancy
Cl1 Cl 0.500 0.750 0.750 1
Pb1 Pb 0.000 0.873 0.016 1
Pb2 Pb 0.000 0.627 0.484 1
Sb1 Sb 0.500 0.250 0.250 1
```

## Properties
The uncorrected formation energy is -0.33 eV per atom. The space group is P2/m. The distance to the lowest polymorph of the same formula is 0.096 eV per atom.

=====

Material: Ba2Si2Te
Method: DFT, PBE
State: relaxed

Cell and atoms, written as CIF:
```
data_Ba2Si2Te
_chemical_formula_sum 'Ba4 Si4 Te2'
_symmetry_space_group_name_H-M 'P 1'
_symmetry_Int_Tables_number 1
_symmetry_space_group_name_Hall 'P 1'
_cell_length_a 8.738
_cell_length_b 8.738
_cell_length_c 4.441
_cell_angle_alpha 90.00
_cell_angle_beta 90.00
_cell_angle_gamma 90.00
loop_
_atom_site_label
_atom_site_type_symbol
_atom_site_fract_x
_atom_site_fract_y
_atom_site_fract_z
_atom_site_occupancy
Si1 Si 0.411 0.911 0.000 1
Si2 Si 0.911 0.589 0.000 1
Si3 Si 0.589 0.089 0.000 1
Si4 Si 0.089 0.411 0.000 1
Te1 Te 0.000 0.000 0.000 1
Te2 Te 0.500 0.500 0.000 1
Ba1 Ba 0.198 0.698 0.500 1
Ba2 Ba 0.698 0.802 0.500 1
Ba3 Ba 0.802 0.302 0.500 1
Ba4 Ba 0.302 0.198 0.500 1
```

## Properties
The uncorrected formation energy is -0.53 eV per atom. The space group is P4/mbm.